Entry 1:
First-principles (PBE) data for an optimized crystal structure of NaAg4As2, as listed in Alexandria.

```
data_NaAg4As2
_chemical_formula_sum 'Na2 Ag8 As4'
_cell_length_a 4.284
_cell_length_b 15.398
_cell_length_c 4.346
_cell_angle_alpha 90.00
_cell_angle_beta 90.00
_cell_angle_gamma 90.00
_space_group_name_H-M_alt 'P 1'
_space_group_IT_number 1
loop_
_space_group_symop_operation_xyz
'x,y,z'
loop_
_atom_site_label
_atom_site_type_symbol
_atom_site_fract_x
_atom_site_fract_y
_atom_site_fract_z
Na1 Na 0.000 0.000 0.000
Na2 Na 0.500 0.500 0.000
Ag1 Ag 0.000 0.185 0.500
Ag2 Ag 0.000 0.317 0.000
Ag3 Ag 0.000 0.683 0.000
Ag4 Ag 0.000 0.815 0.500
Ag5 Ag 0.500 0.183 0.000
Ag6 Ag 0.500 0.315 0.500
Ag7 Ag 0.500 0.685 0.500
Ag8 Ag 0.500 0.817 0.000
As1 As 0.000 0.420 0.500
As2 As 0.000 0.580 0.500
As3 As 0.500 0.080 0.500
As4 As 0.500 0.920 0.500
```

Values from the calculation:
E_tot = -3.2158 eV/atom
E_form = -70 meV per atom
Volume = 20.48 Å³ per atom
DOS(E_F) = 0.302 states/eV/atom


Entry 2:
First-principles (PBE) data for an optimized crystal structure of NaAgAs, as listed in Alexandria.

```
data_NaAgAs
_chemical_formula_sum 'Na4 Ag4 As4'
_cell_length_a 6.476
_cell_length_b 6.476
_cell_length_c 6.476
_cell_angle_alpha 90.00
_cell_angle_beta 90.00
_cell_angle_gamma 90.00
_space_group_name_H-M_alt 'P 1'
_space_group_IT_number 1
loop_
_space_group_symop_operation_xyz
'x,y,z'
loop_
_atom_site_label
_atom_site_type_symbol
_atom_site_fract_x
_atom_site_fract_y
_atom_site_fract_z
Na1 Na 0.000 0.000 0.000
Na2 Na 0.000 0.500 0.500
Na3 Na 0.500 0.000 0.500
Na4 Na 0.500 0.500 0.000
Ag1 Ag 0.000 0.000 0.500
Ag2 Ag 0.000 0.500 0.000
Ag3 Ag 0.500 0.000 0.000
Ag4 Ag 0.500 0.500 0.500
As1 As 0.250 0.250 0.250
As2 As 0.250 0.750 0.750
As3 As 0.750 0.250 0.750
As4 As 0.750 0.750 0.250
```

Values from the calculation:
E_tot = -2.9926 eV/atom
E_form = -53 meV per atom
Volume = 22.64 Å³ per atom
DOS(E_F) = 0.773 states/eV/atom


Entry 3:
First-principles (PBE) data for an optimized crystal structure of NaAg2As2, as listed in Alexandria.

```
data_NaAg2As2
_chemical_formula_sum 'Na2 Ag4 As4'
_cell_length_a 4.439
_cell_length_b 4.439
_cell_length_c 11.075
_cell_angle_alpha 90.00
_cell_angle_beta 90.00
_cell_angle_gamma 90.00
_space_group_name_H-M_alt 'P 1'
_space_group_IT_number 1
loop_
_space_group_symop_operation_xyz
'x,y,z'
loop_
_atom_site_label
_atom_site_type_symbol
_atom_site_fract_x
_atom_site_fract_y
_atom_site_fract_z
Na1 Na 0.000 0.000 0.000
Na2 Na 0.500 0.500 0.500
Ag1 Ag 0.000 0.500 0.250
Ag2 Ag 0.000 0.500 0.750
Ag3 Ag 0.500 0.000 0.250
Ag4 Ag 0.500 0.000 0.750
As1 As 0.000 0.000 0.390
As2 As 0.000 0.000 0.610
As3 As 0.500 0.500 0.110
As4 As 0.500 0.500 0.890
```

Values from the calculation:
E_tot = -3.4039 eV/atom
E_form = -140 meV per atom
Volume = 21.82 Å³ per atom
DOS(E_F) = 0.237 states/eV/atom


Entry 4:
First-principles (PBE) data for an optimized crystal structure of NaAg3As2, as listed in Alexandria.

```
data_NaAg3As2
_chemical_formula_sum 'Na2 Ag6 As4'
_cell_length_a 8.185
_cell_length_b 8.185
_cell_length_c 7.979
_cell_angle_alpha 119.16
_cell_angle_beta 119.16
_cell_angle_gamma 31.98
_space_group_name_H-M_alt 'P 1'
_space_group_IT_number 1
loop_
_space_group_symop_operation_xyz
'x,y,z'
loop_
_atom_site_label
_atom_site_type_symbol
_atom_site_fract_x
_atom_site_fract_y
_atom_site_fract_z
Na1 Na 0.133 0.133 0.133
Na2 Na 0.867 0.867 0.867
Ag1 Ag 0.001 0.001 0.329
Ag2 Ag 0.319 0.319 0.113
Ag3 Ag 0.319 0.319 0.525
Ag4 Ag 0.681 0.681 0.475
Ag5 Ag 0.681 0.681 0.887
Ag6 Ag 0.999 0.999 0.671
As1 As 0.186 0.186 0.686
As2 As 0.500 0.500 0.153
As3 As 0.500 0.500 0.847
As4 As 0.814 0.814 0.314
```

Values from the calculation:
E_tot = -3.2508 eV/atom
E_form = -56 meV per atom
Volume = 20.34 Å³ per atom
DOS(E_F) = 0.341 states/eV/atom


Entry 5:
First-principles (PBE) data for an optimized crystal structure of NaAgAs, as listed in Alexandria.

```
data_NaAgAs
_chemical_formula_sum 'Na1 Ag1 As1'
_cell_length_a 4.613
_cell_length_b 4.613
_cell_length_c 3.349
_cell_angle_alpha 90.00
_cell_angle_beta 90.00
_cell_angle_gamma 120.00
_space_group_name_H-M_alt 'P 1'
_space_group_IT_number 1
loop_
_space_group_symop_operation_xyz
'x,y,z'
loop_
_atom_site_label
_atom_site_type_symbol
_atom_site_fract_x
_atom_site_fract_y
_atom_site_fract_z
Na1 Na 0.000 0.000 0.000
Ag1 Ag 0.667 0.333 0.500
As1 As 0.333 0.667 0.500
```

Values from the calculation:
E_tot = -3.1462 eV/atom
E_form = -206 meV per atom
Volume = 20.58 Å³ per atom
DOS(E_F) = 0.272 states/eV/atom


Entry 6:
First-principles (PBE) data for an optimized crystal structure of NaAgAs2, as listed in Alexandria.

```
data_NaAgAs2
_chemical_formula_sum 'Na4 Ag4 As8'
_cell_length_a 4.375
_cell_length_b 4.375
_cell_length_c 19.066
_cell_angle_alpha 90.00
_cell_angle_beta 90.00
_cell_angle_gamma 90.00
_space_group_name_H-M_alt 'P 1'
_space_group_IT_number 1
loop_
_space_group_symop_operation_xyz
'x,y,z'
loop_
_atom_site_label
_atom_site_type_symbol
_atom_site_fract_x
_atom_site_fract_y
_atom_site_fract_z
Na1 Na 0.000 0.000 0.000
Na2 Na 0.000 0.500 0.250
Na3 Na 0.500 0.000 0.750
Na4 Na 0.500 0.500 0.500
Ag1 Ag 0.000 0.000 0.500
Ag2 Ag 0.000 0.500 0.750
Ag3 Ag 0.500 0.000 0.250
Ag4 Ag 0.500 0.500 0.000
As1 As 0.172 0.250 0.625
As2 As 0.250 0.672 0.875
As3 As 0.250 0.828 0.375
As4 As 0.328 0.250 0.125
As5 As 0.672 0.750 0.125
As6 As 0.750 0.172 0.375
As7 As 0.750 0.328 0.875
As8 As 0.828 0.750 0.625
```

Values from the calculation:
E_tot = -3.3692 eV/atom
E_form = -2 meV per atom
Volume = 22.81 Å³ per atom
DOS(E_F) = 0.607 states/eV/atom


Entry 7:
First-principles (PBE) data for an optimized crystal structure of NaAgAs, as listed in Alexandria.

```
data_NaAgAs
_chemical_formula_sum 'Na2 Ag2 As2'
_cell_length_a 4.259
_cell_length_b 4.259
_cell_length_c 9.860
_cell_angle_alpha 90.00
_cell_angle_beta 90.00
_cell_angle_gamma 120.00
_space_group_name_H-M_alt 'P 1'
_space_group_IT_number 1
loop_
_space_group_symop_operation_xyz
'x,y,z'
loop_
_atom_site_label
_atom_site_type_symbol
_atom_site_fract_x
_atom_site_fract_y
_atom_site_fract_z
Na1 Na 0.000 0.000 0.194
Na2 Na 0.000 0.000 0.806
Ag1 Ag 0.333 0.667 0.000
Ag2 Ag 0.667 0.333 0.500
As1 As 0.333 0.667 0.378
As2 As 0.333 0.667 0.622
```

Values from the calculation:
E_tot = -2.9294 eV/atom
E_form = 11 meV per atom
Volume = 25.81 Å³ per atom
DOS(E_F) = 0.186 states/eV/atom


Entry 8:
First-principles (PBE) data for an optimized crystal structure of NaAg5As2, as listed in Alexandria.

```
data_NaAg5As2
_chemical_formula_sum 'Na2 Ag10 As4'
_cell_length_a 3.122
_cell_length_b 9.105
_cell_length_c 10.801
_cell_angle_alpha 90.00
_cell_angle_beta 90.00
_cell_angle_gamma 90.00
_space_group_name_H-M_alt 'P 1'
_space_group_IT_number 1
loop_
_space_group_symop_operation_xyz
'x,y,z'
loop_
_atom_site_label
_atom_site_type_symbol
_atom_site_fract_x
_atom_site_fract_y
_atom_site_fract_z
Na1 Na 0.000 0.000 0.000
Na2 Na 0.500 0.500 0.500
Ag1 Ag 0.000 0.229 0.367
Ag2 Ag 0.000 0.229 0.633
Ag3 Ag 0.000 0.500 0.000
Ag4 Ag 0.000 0.771 0.367
Ag5 Ag 0.000 0.771 0.633
Ag6 Ag 0.500 0.000 0.500
Ag7 Ag 0.500 0.271 0.133
Ag8 Ag 0.500 0.271 0.867
Ag9 Ag 0.500 0.729 0.133
Ag10 Ag 0.500 0.729 0.867
As1 As 0.000 0.500 0.252
As2 As 0.000 0.500 0.748
As3 As 0.500 0.000 0.248
As4 As 0.500 0.000 0.752
```

Values from the calculation:
E_tot = -3.0886 eV/atom
E_form = 21 meV per atom
Volume = 19.19 Å³ per atom
DOS(E_F) = 0.316 states/eV/atom


Question: Which of these has the highest DOS(E_F)?
Answer: number 2